(1)
# Ga2P2H

Ga2P2H after structural relaxation (PBE, Alexandria via LeMat-Bulk).

Cell and atoms, written as extended XYZ:
```
5
Lattice="-1.5547 0.1739 -3.6535 3.5418 -0.9194 -1.5509 -0.2586 -5.6701 -2.3215" Properties=species:S:1:pos:R:3 pbc="T T T"
H 0.0000 0.0000 0.0000
Ga 1.0095 -4.8816 -4.9852
Ga 0.7191 -1.5340 -2.5407
P -0.4098 -2.9345 -4.2886
P 2.1384 -3.4811 -3.2373
```

Results
Symmetry: I4/mmm, No. 139
DFT total energy, eV per atom: -3.52
Calculated density, g/cm³: 3.90



(2)
# GaPH

GaPH after structural relaxation (PBE, Alexandria via LeMat-Bulk).

Cell and atoms, written as extended XYZ:
```
6
Lattice="-3.4830 0.9215 1.4224 -1.2974 -1.7087 3.2638 2.9077 4.1710 6.2691" Properties=species:S:1:pos:R:3 pbc="T T T"
Ga -0.7295 2.1879 3.8357
Ga -1.6187 3.2059 6.2992
P 0.6804 2.7206 6.9683
P -1.4531 0.3081 2.0376
H -0.0882 0.2177 1.6157
H -3.0623 -0.3940 4.3468
```

Results
Symmetry: P1, No. 1
E above lowest polymorph, eV/atom: 0.2323
Calculated density, g/cm³: 3.37



(3)
# GaPH

GaPH after structural relaxation (PBE, Alexandria via LeMat-Bulk).

Cell and atoms, written as extended XYZ:
```
3
Lattice="4.1496 0.0000 -0.0029 0.0000 2.5603 0.0000 -1.8724 0.0000 5.3114" Properties=species:S:1:pos:R:3 pbc="T T T"
H -0.4171 0.0000 3.4583
P -0.4410 0.0000 2.0098
Ga 1.6310 0.0000 0.6236
```

Results
Symmetry: Pm, No. 6
E above lowest polymorph, eV/atom: 0.3177
Calculated density, g/cm³: 2.99



Please write out number 2 again, unchanged.
# GaPH

GaPH after structural relaxation (PBE, Alexandria via LeMat-Bulk).

Cell and atoms, written as extended XYZ:
```
6
Lattice="-3.4830 0.9215 1.4224 -1.2974 -1.7087 3.2638 2.9077 4.1710 6.2691" Properties=species:S:1:pos:R:3 pbc="T T T"
Ga -0.7295 2.1879 3.8357
Ga -1.6187 3.2059 6.2992
P 0.6804 2.7206 6.9683
P -1.4531 0.3081 2.0376
H -0.0882 0.2177 1.6157
H -3.0623 -0.3940 4.3468
```

Results
Symmetry: P1, No. 1
E above lowest polymorph, eV/atom: 0.2323
Calculated density, g/cm³: 3.37



> Which formula does entry 3 have?

GaPH



> Which value of calculated density does entry 3 give?

2.99 g/cm³